# PBE RbZr2Ti, relaxed
data_RbZr2Ti
_chemical_formula_sum 'Rb1 Zr2 Ti1'
_symmetry_space_group_name_H-M 'P 1'
_symmetry_Int_Tables_number 1
_cell_length_a 5.2533
_cell_length_b 5.2533
_cell_length_c 5.2533
_cell_angle_alpha 60.00
_cell_angle_beta 60.00
_cell_angle_gamma 60.00
loop_
_symmetry_equiv_pos_as_xyz
'x,y,z'
loop_
_atom_site_label
_atom_site_fract_x
_atom_site_fract_y
_atom_site_fract_z
_atom_site_occupancy
Rb1 0.0000 0.0000 0.0000 1
Zr1 0.2500 0.2500 0.2500 1
Zr2 0.7500 0.7500 0.7500 1
Ti1 0.5000 0.5000 0.5000 1
# Energy of formation = 1.188 eV/atom
# E = -5.30 eV/atom
# V = 103 Å³ per cell
# Spin magnetization = 0.83 μB per atom
# SG = Fm-3m